# 1
Material: SiHgBr3
Method: DFT, PBE
State: relaxed

The structure in CIF format:
```
data_SiHgBr3
_cell_length_a 6.7737
_cell_length_b 7.3431
_cell_length_c 7.9258
_cell_angle_alpha 90.09
_cell_angle_beta 90.04
_cell_angle_gamma 90.01
_space_group_name_H-M_alt 'P 1'
_space_group_IT_number 1
loop_
_space_group_symop_operation_xyz
'x,y,z'
loop_
_atom_site_label
_atom_site_fract_x
_atom_site_fract_y
_atom_site_fract_z
Si1 0.0000 0.0000 0.0000
Si2 0.5004 0.3184 0.5012
Hg1 0.4028 0.9583 0.5005
Hg2 0.9039 0.3602 0.0004
Br1 0.3308 0.9516 0.0013
Br2 0.3773 0.4661 0.2728
Br3 0.3817 0.4640 0.7327
Br4 0.8313 0.3662 0.4993
Br5 0.8776 0.8530 0.2289
Br6 0.8800 0.8542 0.7690
```

Results
E_form (uncorrected) = -371 meV/atom
Volume = 39.423 Å³/atom
Polymorph energy (0 for the lowest one) = 0.0 kJ/mol of atoms
Calculated total energy = -25.20 eV/cell
Calculated density = 3.95 Mg/m³

---

# 2
Material: Sc2ReMo
Method: DFT, PBE
State: relaxed

The structure in CIF format:
```
data_Sc2ReMo
_cell_length_a 6.5490
_cell_length_b 6.5490
_cell_length_c 6.5490
_cell_angle_alpha 90.00
_cell_angle_beta 90.00
_cell_angle_gamma 90.00
_space_group_name_H-M_alt 'F -4 3 m'
_space_group_IT_number 216
_space_group_name_Hall 'F -4 2 3'
loop_
_atom_site_label
_atom_site_fract_x
_atom_site_fract_y
_atom_site_fract_z
Sc1 0.0000 0.0000 0.0000
Sc2 0.2500 0.2500 0.2500
Re1 0.2500 0.2500 0.7500
Mo1 0.0000 0.0000 0.5000
```

Results
Formation energy from the elements = 0.032 eV per atom
Volume = 17.555 Å³/atom
Polymorph energy (0 for the lowest one) = 11.7 kJ/mol of atoms
Calculated total energy = -143.26 eV/cell
Calculated density = 8.80 Mg/m³

---

# 3
Material: Ag3H2Se4
Method: DFT, PBE
State: relaxed

The structure in CIF format:
```
data_Ag3H2Se4
_cell_length_a 4.3633
_cell_length_b 6.5164
_cell_length_c 7.0125
_cell_angle_alpha 105.04
_cell_angle_beta 103.18
_cell_angle_gamma 90.54
_space_group_name_H-M_alt 'P -1'
_space_group_IT_number 2
loop_
_space_group_symop_operation_xyz
'x,y,z'
'-x,-y,-z'
loop_
_atom_site_label
_atom_site_fract_x
_atom_site_fract_y
_atom_site_fract_z
Ag1 0.0000 0.0000 0.0000
Ag2 0.2357 0.3519 0.6212
H1 0.3717 0.9679 0.6355
Se1 0.1225 0.6524 0.1356
Se2 0.4566 0.2112 0.2999
```

Results
Volume = 20.776 Å³/atom
Polymorph energy (0 for the lowest one) = 0.0 kJ/mol of atoms
Calculated total energy = -29.37 eV/cell
Calculated density = 5.70 Mg/m³

---

# 4
Material: Ba8ZnAu2
Method: DFT, PBE
State: relaxed

The structure in CIF format:
```
data_Ba8ZnAu2
_cell_length_a 10.0330
_cell_length_b 14.5333
_cell_length_c 7.5580
_cell_angle_alpha 90.00
_cell_angle_beta 106.73
_cell_angle_gamma 90.00
_space_group_name_H-M_alt 'C 1 m 1'
_space_group_IT_number 8
loop_
_space_group_symop_operation_xyz
'x,y,z'
'x,-y,z'
'x+1/2,y+1/2,z'
'x+1/2,-y+1/2,z'
loop_
_atom_site_label
_atom_site_fract_x
_atom_site_fract_y
_atom_site_fract_z
Ba1 0.0000 0.0000 0.0000
Ba2 0.0739 0.3584 0.8361
Ba3 0.1564 0.1353 0.5957
Ba4 0.2176 0.5000 0.4080
Ba5 0.3684 0.2068 0.2185
Zn1 0.3466 0.0000 0.9752
Au1 0.3603 0.3181 0.6986
```

Results
Formation energy from the elements = -0.242 eV per atom
Volume = 47.973 Å³/atom
Calculated total energy = -51.74 eV/cell
Calculated density = 4.90 Mg/m³

---

- Look up the volume of the second one.
  17.555 Å³/atom

---

Repeat the third record exactly.
Material: Ag3H2Se4
Method: DFT, PBE
State: relaxed

The structure in CIF format:
```
data_Ag3H2Se4
_cell_length_a 4.3633
_cell_length_b 6.5164
_cell_length_c 7.0125
_cell_angle_alpha 105.04
_cell_angle_beta 103.18
_cell_angle_gamma 90.54
_space_group_name_H-M_alt 'P -1'
_space_group_IT_number 2
loop_
_space_group_symop_operation_xyz
'x,y,z'
'-x,-y,-z'
loop_
_atom_site_label
_atom_site_fract_x
_atom_site_fract_y
_atom_site_fract_z
Ag1 0.0000 0.0000 0.0000
Ag2 0.2357 0.3519 0.6212
H1 0.3717 0.9679 0.6355
Se1 0.1225 0.6524 0.1356
Se2 0.4566 0.2112 0.2999
```

Results
Volume = 20.776 Å³/atom
Polymorph energy (0 for the lowest one) = 0.0 kJ/mol of atoms
Calculated total energy = -29.37 eV/cell
Calculated density = 5.70 Mg/m³

---

- Which value of calculated total energy does entry 2 give?
  -143.26 eV/cell

---

- Which value of calculated total energy does entry 4 give?
  -51.74 eV/cell